Entry 1:
A plane-wave DFT calculation with PBE was carried out for an optimized crystal structure of SmYGa.

Total energy: -5.122 eV per atom
E_form: -385 meV/atom
V: 158.1 Å³ per cell

a b c (Å): 5.2612 5.2612 6.5915
angles (deg): 90.00 90.00 119.96
Sites, in units of the cell vectors:
Sm 0.0000 0.5000 0.0000
Sm 0.0000 0.5000 0.5000
Y 0.6666 0.8334 0.7500
Y 0.3334 0.1666 0.2500
Ga 0.3332 0.1668 0.7500
Ga 0.6668 0.8332 0.2500

***

Entry 2:
A plane-wave DFT calculation with PBE was carried out for an optimized crystal structure of Dy8Co2Rh.

Total energy: -5.489 eV per atom
E_form: -182 meV/atom
V: 281.4 Å³ per cell

a b c (Å): 5.9547 7.3682 7.3682
angles (deg): 113.56 99.89 99.89
Sites, in units of the cell vectors:
Dy 0.5823 0.3450 0.0813
Dy 0.5823 0.0813 0.3450
Dy 0.1735 0.3636 0.3636
Dy 0.9884 0.2184 0.7871
Dy 0.9884 0.7871 0.2184
Dy 0.8041 0.6396 0.6396
Dy 0.3876 0.9264 0.6637
Dy 0.3876 0.6637 0.9264
Co 0.4886 0.6960 0.3131
Co 0.4886 0.3131 0.6960
Rh 0.1284 0.9999 0.9999

***

Entry 3:
A plane-wave DFT calculation with PBE was carried out for an optimized crystal structure of CsRe2F.

Total energy: -4.490 eV per atom
V: 67.9 Å³ per cell
Formation energy without anion corrections: 2.415 eV/atom

a b c (Å): 4.5786 4.5786 4.5786
angles (deg): 60.00 60.00 60.00
Sites, in units of the cell vectors:
Cs 0.5000 0.5000 0.5000
Re 0.2500 0.2500 0.2500
Re 0.7500 0.7500 0.7500
F 0.0000 0.0000 0.0000

***

Entry 4:
A plane-wave DFT calculation with PBE was carried out for an optimized crystal structure of TbBiCl.

Total energy: -4.606 eV per atom
V: 476.8 Å³ per cell
Formation energy without anion corrections: -1.153 eV/atom

a b c (Å): 4.4698 10.3741 11.2389
angles (deg): 69.42 101.47 90.00
Sites, in units of the cell vectors:
Cl 0.0478 0.2158 0.0955
Cl 0.4059 0.1131 0.8117
Cl 0.5941 0.8869 0.1883
Cl 0.9522 0.7842 0.9045
Bi 0.3171 0.6118 0.6342
Bi 0.7704 0.8853 0.5407
Bi 0.6829 0.3882 0.3658
Bi 0.2296 0.1147 0.4593
Tb 0.2951 0.3376 0.5903
Tb 0.6202 0.1211 0.2404
Tb 0.7049 0.6624 0.4097
Tb 0.3798 0.8789 0.7596

***

Entry 5:
A plane-wave DFT calculation with PBE was carried out for an optimized crystal structure of Tb5ScSn5.

Total energy: -4.936 eV per atom
E_form: -437 meV/atom
V: 327.5 Å³ per cell

a b c (Å): 6.0333 8.4640 7.1312
angles (deg): 104.65 90.00 110.88
Sites, in units of the cell vectors:
Tb 0.6790 0.3579 0.2959
Tb 0.6514 0.3029 0.7799
Tb 0.0000 0.0000 0.5000
Tb 0.3486 0.6971 0.2201
Tb 0.3210 0.6421 0.7041
Sc 0.0000 0.0000 0.0000
Sn 0.8357 0.6713 0.1069
Sn 0.8378 0.6755 0.6542
Sn 0.5000 0.0000 0.0000
Sn 0.1622 0.3245 0.3458
Sn 0.1643 0.3287 0.8931

***

Entry 6:
A plane-wave DFT calculation with PBE was carried out for an optimized crystal structure of Dy3CoGe.

Total energy: -5.510 eV per atom
E_form: -404 meV/atom
V: 238.8 Å³ per cell

a b c (Å): 3.7510 7.9730 8.2236
angles (deg): 92.76 89.99 103.60
Sites, in units of the cell vectors:
Dy 0.0721 0.1773 0.3987
Dy 0.4169 0.8676 0.6606
Dy 0.6267 0.2864 0.7610
Dy 0.9721 0.9770 0.0229
Dy 0.2715 0.5755 0.0130
Dy 0.7726 0.5787 0.4085
Co 0.2333 0.5000 0.6539
Co 0.8102 0.6538 0.7676
Ge 0.4104 0.8542 0.2876
Ge 0.6340 0.3000 0.1340